No. 1
Computed, not measured: a relaxed Te3PPb crystal at the PBE level of DFT.

Results
**Uncorrected formation energy**: 0.192 eV per atom
**Excess energy over the best structure of this formula in the dataset**: 0.0000 eV per atom
**ρ**: 6.8 Mg/m³

CIF file:
```
data_Te3PPb
_chemical_formula_sum 'Te3 P1 Pb1'
_symmetry_space_group_name_H-M 'P m -3 m'
_symmetry_Int_Tables_number 221
_symmetry_space_group_name_Hall '-P 4 2 3'
_cell_length_a 5.320
_cell_length_b 5.320
_cell_length_c 5.320
_cell_angle_alpha 90.00
_cell_angle_beta 90.00
_cell_angle_gamma 90.00
loop_
_atom_site_label
_atom_site_type_symbol
_atom_site_fract_x
_atom_site_fract_y
_atom_site_fract_z
Te1 Te 0.000 0.000 0.500
P1 P 0.000 0.000 0.000
Pb1 Pb 0.500 0.500 0.500
```

***

No. 2
Computed, not measured: a relaxed AcSmDyHo2 crystal at the PBE level of DFT.

Results
**ΔH_f (0 K)**: 0.35 eV/atom
**ρ**: 7.8 Mg/m³

CIF file:
```
data_AcSmDyHo2
_chemical_formula_sum 'Ac4 Sm4 Dy4 Ho8'
_symmetry_space_group_name_H-M 'C m c m'
_symmetry_Int_Tables_number 63
_symmetry_space_group_name_Hall '-C 2c 2'
_cell_length_a 8.481
_cell_length_b 11.895
_cell_length_c 7.319
_cell_angle_alpha 90.00
_cell_angle_beta 90.00
_cell_angle_gamma 90.00
loop_
_atom_site_label
_atom_site_type_symbol
_atom_site_fract_x
_atom_site_fract_y
_atom_site_fract_z
Ac1 Ac 0.000 0.244 0.250
Sm1 Sm 0.000 0.474 0.750
Dy1 Dy 0.000 0.203 0.750
Ho1 Ho 0.189 0.000 0.000
```

***

No. 3
Computed, not measured: a relaxed Ti6MoPd2 crystal at the PBE level of DFT.

Results
**ΔH_f (0 K)**: 0.13 eV/atom
**ρ**: 5.8 Mg/m³

CIF file:
```
data_Ti6MoPd2
_chemical_formula_sum 'Ti12 Mo2 Pd4'
_symmetry_space_group_name_H-M 'I m m m'
_symmetry_Int_Tables_number 71
_symmetry_space_group_name_Hall '-I 2 2'
_cell_length_a 4.376
_cell_length_b 6.116
_cell_length_c 12.806
_cell_angle_alpha 90.00
_cell_angle_beta 90.00
_cell_angle_gamma 90.00
loop_
_atom_site_label
_atom_site_type_symbol
_atom_site_fract_x
_atom_site_fract_y
_atom_site_fract_z
Ti1 Ti 0.000 0.245 0.000
Ti2 Ti 0.000 0.252 0.337
Mo1 Mo 0.000 0.500 0.500
Pd1 Pd 0.000 0.500 0.168
```